1.
## In2GaCu3Se6 (GGA-PBE)

Data for a relaxed structure of In2GaCu3Se6. Values from VASP.

```
&SYSTEM
  ibrav = 0, nat = 24, ntyp = 4
/
ATOMIC_SPECIES
Cu 63.55 Cu.upf
In 114.82 In.upf
Se 78.96 Se.upf
Ga 69.72 Ga.upf
CELL_PARAMETERS angstrom
5.8214 4.1000 0.0065
-5.8214 4.1000 0.0065
0.0000 4.0829 12.3168
ATOMIC_POSITIONS angstrom
Cu -0.0109 4.0848 4.0529
In 0.0039 4.1000 0.0065
Se 1.4165 4.2166 6.0239
In -2.9160 6.1415 6.1650
Se 1.5365 8.2050 10.1593
Se 1.4165 8.0664 6.3060
Se -4.2788 8.1636 10.4181
Se -1.4996 1.9141 0.0313
Cu -5.8023 4.1000 0.0065
Cu -0.0109 8.1982 8.2770
In 0.0012 8.1903 4.0741
Se 1.5365 4.0779 2.1706
Se -1.4996 10.3689 12.2986
Cu 2.9162 6.1415 6.1650
Cu -2.9147 6.1595 1.9703
Cu -2.9147 6.1235 10.3597
Se -1.4824 6.0148 3.9416
Se 4.3026 6.0122 8.1873
In 0.0012 4.0927 8.2558
Se 4.3026 6.2707 4.1427
Se -1.4824 6.2682 8.3883
Ga 2.9181 6.1502 2.0802
Ga 2.9181 6.1328 10.2497
Se -4.2788 4.1194 1.9118
```

- Formation energy without anion corrections: -0.45 eV per atom
- ρ: 5.447 g/cm³

***

2.
## InGaCu2Se4 (GGA-PBE)

Data for a relaxed structure of InGaCu2Se4. Values from VASP.

```
&SYSTEM
  ibrav = 0, nat = 8, ntyp = 4
/
ATOMIC_SPECIES
Ga 69.72 Ga.upf
Se 78.96 Se.upf
In 114.82 In.upf
Cu 63.55 Cu.upf
CELL_PARAMETERS angstrom
-0.4107 -5.2410 -2.4149
5.5442 0.3141 -1.6223
-0.9808 0.0566 6.9724
ATOMIC_POSITIONS angstrom
Ga 2.5672 -2.4640 -2.0174
Se 1.5881 -4.4270 -0.8667
Se 4.4029 -1.8012 -0.4921
In 4.1524 -4.8699 2.9343
Cu 0.5880 -3.8245 1.2706
Se -0.0553 -0.5925 4.5682
Cu 3.5654 -1.0469 1.6669
Se 2.3697 -2.9199 2.6610
```

- Formation energy without anion corrections: -0.46 eV per atom
- ρ: 5.432 g/cm³

***

3.
## InGaCu2Se4 (GGA-PBE)

Data for a relaxed structure of InGaCu2Se4. Values from VASP.

```
&SYSTEM
  ibrav = 0, nat = 8, ntyp = 4
/
ATOMIC_SPECIES
Se 78.96 Se.upf
Cu 63.55 Cu.upf
Ga 69.72 Ga.upf
In 114.82 In.upf
CELL_PARAMETERS angstrom
-3.0534 6.0528 -2.0087
-6.7586 0.0438 2.0769
6.0018 -1.3242 3.4955
ATOMIC_POSITIONS angstrom
Se -5.1974 5.4522 -1.0282
Cu -2.8314 0.8840 2.8033
Ga -0.9788 3.8885 0.7605
Se -1.1777 0.9140 4.6098
Cu 0.0000 0.0000 0.0000
In -4.9060 3.0483 0.0341
Se 1.8035 0.0233 1.6328
Se -3.0487 3.1554 1.9132
```

- Formation energy without anion corrections: -0.46 eV per atom
- ρ: 5.423 g/cm³

***

4.
## SmInGaCu (GGA-PBE)

Data for a relaxed structure of SmInGaCu. Values from VASP.

```
&SYSTEM
  ibrav = 0, nat = 4, ntyp = 4
/
ATOMIC_SPECIES
Sm 150.36 Sm.upf
Ga 69.72 Ga.upf
Cu 63.55 Cu.upf
In 114.82 In.upf
CELL_PARAMETERS angstrom
-0.8259 -4.7649 0.7602
3.5904 -3.2506 -0.7120
2.0508 -2.2594 3.8280
ATOMIC_POSITIONS angstrom
Sm 0.0000 0.0000 0.0000
Ga 1.2038 -2.5687 0.9691
Cu 3.6115 -7.7061 2.9072
In 2.4077 -5.1374 1.9381
```

- Energy of formation: -0.3073 eV per atom
- ρ: 7.976 g/cm³

***

5.
## Sm2InGa4Cu3 (GGA-PBE)

Data for a relaxed structure of Sm2InGa4Cu3. Values from VASP.

```
&SYSTEM
  ibrav = 0, nat = 10, ntyp = 4
/
ATOMIC_SPECIES
Cu 63.55 Cu.upf
Ga 69.72 Ga.upf
In 114.82 In.upf
Sm 150.36 Sm.upf
CELL_PARAMETERS angstrom
-1.3507 -0.7024 -3.9171
3.9089 -1.0104 -1.1666
-1.8968 -10.2062 2.4841
ATOMIC_POSITIONS angstrom
Cu -0.9484 -5.1031 1.2421
Ga 1.2791 -0.8564 -2.5419
In 0.3307 -5.9595 -1.2998
Cu -2.3382 -9.2986 0.2192
Ga 0.0000 0.0000 0.0000
Cu 1.7205 -1.7640 -0.2770
Sm -1.1240 -2.7655 -1.3709
Ga -1.9173 -7.0342 -0.3320
Sm 0.5063 -8.2971 1.3132
Ga 1.2997 -4.0284 0.2742
```

- Energy of formation: -0.4397 eV per atom
- ρ: 7.796 g/cm³

***

6.
## Sm2InGa3Cu4 (GGA-PBE)

Data for a relaxed structure of Sm2InGa3Cu4. Values from VASP.

```
&SYSTEM
  ibrav = 0, nat = 10, ntyp = 4
/
ATOMIC_SPECIES
Ga 69.72 Ga.upf
Cu 63.55 Cu.upf
Sm 150.36 Sm.upf
In 114.82 In.upf
CELL_PARAMETERS angstrom
-3.4805 -1.1653 2.1252
1.7594 -3.7725 0.8128
4.0518 3.7641 8.6997
ATOMIC_POSITIONS angstrom
Ga 1.3794 -1.4221 1.4793
Ga 2.0259 1.8821 4.3498
Cu 0.8750 1.8469 6.6779
Sm -0.7889 0.3012 3.1053
Cu -0.8605 -2.4689 1.4690
Ga 1.8119 2.7172 8.6894
Cu 0.0000 0.0000 0.0000
Sm 3.9801 0.9940 7.0634
In 1.1654 -0.5869 5.8188
Cu 2.3162 -0.5517 3.4908
```

- Energy of formation: -0.3956 eV per atom
- ρ: 7.870 g/cm³

***

7.
## Sr2InGa4Cu3 (GGA-PBE)

Data for a relaxed structure of Sr2InGa4Cu3. Values from VASP.

```
&SYSTEM
  ibrav = 0, nat = 10, ntyp = 4
/
ATOMIC_SPECIES
Cu 63.55 Cu.upf
Ga 69.72 Ga.upf
In 114.82 In.upf
Sr 87.62 Sr.upf
CELL_PARAMETERS angstrom
4.3214 0.0000 0.0000
0.0000 4.3214 0.0000
0.0000 0.0000 10.9992
ATOMIC_POSITIONS angstrom
Cu 0.0000 2.1607 1.3461
Ga 2.1607 0.0000 7.1616
Ga 2.1607 2.1607 0.0000
Cu 0.0000 0.0000 5.4996
In 2.1607 2.1607 5.4996
Cu 2.1607 0.0000 9.6530
Ga 0.0000 2.1607 3.8375
Sr 2.1607 0.0000 2.6218
Ga 0.0000 0.0000 0.0000
Sr 0.0000 2.1607 8.3774
```

- Energy of formation: -0.3102 eV per atom
- ρ: 6.141 g/cm³

***

8.
## Sr2InGa3Cu4 (GGA-PBE)

Data for a relaxed structure of Sr2InGa3Cu4. Values from VASP.

```
&SYSTEM
  ibrav = 0, nat = 10, ntyp = 4
/
ATOMIC_SPECIES
In 114.82 In.upf
Sr 87.62 Sr.upf
Cu 63.55 Cu.upf
Ga 69.72 Ga.upf
CELL_PARAMETERS angstrom
-1.3111 0.8902 -4.0896
3.4360 -2.2181 -1.5844
-5.7341 -8.8238 -0.0823
ATOMIC_POSITIONS angstrom
In -1.8046 -5.0759 -2.8781
Sr -2.6424 -7.8190 -0.8547
Cu -0.3168 -4.2402 -0.8214
Ga -2.8671 -4.4119 -0.0411
Ga 1.0607 -2.1205 -0.8016
Cu -4.3549 -5.2475 -2.0979
Sr -2.0293 -1.6688 -2.0645
Ga -5.7324 -7.3672 -2.1176
Cu 0.0000 0.0000 0.0000
Cu 1.0624 -0.6640 -2.8370
```

- Energy of formation: -0.2722 eV per atom
- ρ: 6.180 g/cm³

***

9.
## TbInGaCu (GGA-PBE)

Data for a relaxed structure of TbInGaCu. Values from VASP.

```
&SYSTEM
  ibrav = 0, nat = 4, ntyp = 4
/
ATOMIC_SPECIES
Cu 63.55 Cu.upf
In 114.82 In.upf
Tb 158.93 Tb.upf
Ga 69.72 Ga.upf
CELL_PARAMETERS angstrom
4.8515 0.0000 0.0000
2.4257 4.2015 0.0000
2.4257 1.4005 3.9612
ATOMIC_POSITIONS angstrom
Cu 2.4257 1.4005 0.9903
In 4.8515 2.8010 1.9806
Tb 0.0000 0.0000 0.0000
Ga 7.2772 4.2015 2.9709
```

- Energy of formation: -0.3043 eV per atom
- ρ: 8.371 g/cm³

***

10.
## Tb2InGa3Cu4 (GGA-PBE)

Data for a relaxed structure of Tb2InGa3Cu4. Values from VASP.

```
&SYSTEM
  ibrav = 0, nat = 10, ntyp = 4
/
ATOMIC_SPECIES
Ga 69.72 Ga.upf
In 114.82 In.upf
Cu 63.55 Cu.upf
Tb 158.93 Tb.upf
CELL_PARAMETERS angstrom
-3.2965 1.5227 -2.0847
0.3902 -3.0484 -2.8437
-6.2994 -6.0061 5.5740
ATOMIC_POSITIONS angstrom
Ga -0.5863 -2.2692 -0.7304
Ga -3.1497 -3.0030 2.7870
In -4.6028 -3.7659 0.3228
Cu -1.4531 -0.7628 -2.4642
Cu -5.7273 -3.1278 2.5670
Cu -2.0252 -3.6411 0.5428
Tb -3.1240 -0.6457 0.2634
Ga -7.1662 -4.4997 3.8402
Cu 0.0000 0.0000 0.0000
Tb -4.6285 -6.1233 2.8463
```

- Energy of formation: -0.3851 eV per atom
- ρ: 8.211 g/cm³

***

11.
## Th2InGa3Cu4 (GGA-PBE)

Data for a relaxed structure of Th2InGa3Cu4. Values from VASP.

```
&SYSTEM
  ibrav = 0, nat = 10, ntyp = 4
/
ATOMIC_SPECIES
Th 232.04 Th.upf
Ga 69.72 Ga.upf
Cu 63.55 Cu.upf
In 114.82 In.upf
CELL_PARAMETERS angstrom
4.2538 0.0000 0.0000
0.0000 4.2538 0.0000
0.0000 0.0000 10.3811
ATOMIC_POSITIONS angstrom
Th 2.1269 0.0000 2.3894
Ga 0.0000 2.1269 1.2867
Cu 2.1269 2.1269 0.0000
Cu 0.0000 0.0000 0.0000
Ga 2.1269 0.0000 9.0945
Th 0.0000 2.1269 7.9917
Ga 0.0000 0.0000 5.1906
Cu 2.1269 0.0000 6.7018
In 2.1269 2.1269 5.1906
Cu 0.0000 2.1269 3.6793
```

- Energy of formation: -0.3780 eV per atom
- ρ: 9.213 g/cm³

***

12.
## Th2InGa4Cu3 (GGA-PBE)

Data for a relaxed structure of Th2InGa4Cu3. Values from VASP.

```
&SYSTEM
  ibrav = 0, nat = 10, ntyp = 4
/
ATOMIC_SPECIES
Ga 69.72 Ga.upf
Th 232.04 Th.upf
In 114.82 In.upf
Cu 63.55 Cu.upf
CELL_PARAMETERS angstrom
-2.4782 2.0955 2.7406
-1.1211 -3.6804 1.8004
8.1361 0.8155 6.7336
ATOMIC_POSITIONS angstrom
Ga 4.0721 1.5801 5.7659
Ga 0.0000 0.0000 0.0000
Th 5.6523 -1.2175 6.0420
In 2.2684 -0.3847 5.6373
Cu 4.0681 0.4077 3.3668
Th 0.6842 1.2405 2.9621
Cu 5.8973 1.7630 7.2765
Ga -1.7997 -0.7924 2.2705
Cu 0.4392 -1.7400 1.7276
Ga 2.2644 -1.5571 3.2382
```

- Energy of formation: -0.4191 eV per atom
- ρ: 9.109 g/cm³

***

13.
## ThInGaCu (GGA-PBE)

Data for a relaxed structure of ThInGaCu. Values from VASP.

```
&SYSTEM
  ibrav = 0, nat = 4, ntyp = 4
/
ATOMIC_SPECIES
Ga 69.72 Ga.upf
In 114.82 In.upf
Th 232.04 Th.upf
Cu 63.55 Cu.upf
CELL_PARAMETERS angstrom
4.9505 0.0000 0.0000
2.4753 4.2873 0.0000
2.4753 1.4291 4.0421
ATOMIC_POSITIONS angstrom
Ga 4.9505 2.8582 2.0211
In 7.4258 4.2873 3.0316
Th 2.4753 1.4291 1.0105
Cu 0.0000 0.0000 0.0000
```

- Energy of formation: -0.2050 eV per atom
- ρ: 9.293 g/cm³

***

14.
## Ti2InGaCu (GGA-PBE)

Data for a relaxed structure of Ti2InGaCu. Values from VASP.

```
&SYSTEM
  ibrav = 0, nat = 5, ntyp = 4
/
ATOMIC_SPECIES
Ti 47.87 Ti.upf
Ga 69.72 Ga.upf
Cu 63.55 Cu.upf
In 114.82 In.upf
CELL_PARAMETERS angstrom
-3.8399 -0.3359 -2.7832
2.4129 -2.9881 -2.9683
-1.5079 -3.7317 2.5308
ATOMIC_POSITIONS angstrom
Ti -1.9200 -0.1679 -1.3916
Ga 0.0000 0.0000 0.0000
Cu -1.4675 -3.5278 -1.6104
In 1.2064 -1.4940 -1.4842
Ti -0.7540 -1.8659 1.2654
```

- Energy of formation: 0.8049 eV per atom
- ρ: 5.203 g/cm³

***

15.
## TmInGaCu (GGA-PBE)

Data for a relaxed structure of TmInGaCu. Values from VASP.

```
&SYSTEM
  ibrav = 0, nat = 4, ntyp = 4
/
ATOMIC_SPECIES
In 114.82 In.upf
Cu 63.55 Cu.upf
Ga 69.72 Ga.upf
Tm 168.93 Tm.upf
CELL_PARAMETERS angstrom
4.8073 0.0000 0.0000
2.4036 4.1632 0.0000
2.4036 1.3877 3.9251
ATOMIC_POSITIONS angstrom
In 7.2109 4.1632 2.9438
Cu 4.8073 2.7755 1.9626
Ga 0.0000 0.0000 0.0000
Tm 2.4036 1.3877 0.9813
```

- Energy of formation: -0.2808 eV per atom
- ρ: 8.815 g/cm³

***

16.
## Tm2InGa3Cu4 (GGA-PBE)

Data for a relaxed structure of Tm2InGa3Cu4. Values from VASP.

```
&SYSTEM
  ibrav = 0, nat = 10, ntyp = 4
/
ATOMIC_SPECIES
Cu 63.55 Cu.upf
In 114.82 In.upf
Tm 168.93 Tm.upf
Ga 69.72 Ga.upf
CELL_PARAMETERS angstrom
4.1301 0.0000 0.0000
0.0000 4.1301 0.0000
0.0000 0.0000 10.3928
ATOMIC_POSITIONS angstrom
Cu 2.0650 2.0650 0.0000
In 2.0650 2.0650 5.1964
Tm 2.0650 0.0000 2.4205
Cu 0.0000 0.0000 0.0000
Ga 2.0650 0.0000 9.0924
Tm 0.0000 2.0650 7.9723
Ga 0.0000 2.0650 1.3004
Cu 2.0650 0.0000 6.7501
Cu 0.0000 2.0650 3.6427
Ga 0.0000 0.0000 5.1964
```

- Energy of formation: -0.3501 eV per atom
- ρ: 8.580 g/cm³

***

17.
## Y2InGa4Cu3 (GGA-PBE)

Data for a relaxed structure of Y2InGa4Cu3. Values from VASP.

```
&SYSTEM
  ibrav = 0, nat = 10, ntyp = 4
/
ATOMIC_SPECIES
Cu 63.55 Cu.upf
Ga 69.72 Ga.upf
Y 88.91 Y.upf
In 114.82 In.upf
CELL_PARAMETERS angstrom
4.1467 0.0000 0.0000
0.0000 4.1467 0.0000
0.0000 0.0000 10.7096
ATOMIC_POSITIONS angstrom
Cu 2.0734 0.0000 9.3662
Cu 0.0000 0.0000 5.3548
Ga 0.0000 0.0000 0.0000
Y 0.0000 2.0734 8.1846
Ga 2.0734 2.0734 0.0000
Cu 0.0000 2.0734 1.3434
Ga 2.0734 0.0000 7.0235
In 2.0734 2.0734 5.3548
Ga 0.0000 2.0734 3.6861
Y 2.0734 0.0000 2.5250
```

- Energy of formation: -0.4214 eV per atom
- ρ: 6.872 g/cm³

***

18.
## YInGaCu (GGA-PBE)

Data for a relaxed structure of YInGaCu. Values from VASP.

```
&SYSTEM
  ibrav = 0, nat = 4, ntyp = 4
/
ATOMIC_SPECIES
In 114.82 In.upf
Ga 69.72 Ga.upf
Cu 63.55 Cu.upf
Y 88.91 Y.upf
CELL_PARAMETERS angstrom
4.8527 0.0000 0.0000
2.4264 4.2026 0.0000
2.4264 1.4009 3.9622
ATOMIC_POSITIONS angstrom
In 2.4264 1.4009 0.9906
Ga 4.8527 2.8017 1.9811
Cu 0.0000 0.0000 0.0000
Y 7.2791 4.2026 2.9717
```

- Energy of formation: -0.2943 eV per atom
- ρ: 6.925 g/cm³

***

19.
## ZnIn2Ga2Cu7 (GGA-PBE)

Data for a relaxed structure of ZnIn2Ga2Cu7. Values from VASP.

```
&SYSTEM
  ibrav = 0, nat = 12, ntyp = 4
/
ATOMIC_SPECIES
Cu 63.55 Cu.upf
Ga 69.72 Ga.upf
Zn 65.41 Zn.upf
In 114.82 In.upf
CELL_PARAMETERS angstrom
3.5317 0.0065 0.0266
0.0108 3.5317 0.0266
1.7061 1.7041 15.2000
ATOMIC_POSITIONS angstrom
Cu 1.6535 1.6515 6.8814
Cu 3.5285 1.7651 1.9779
Ga 1.8133 1.8111 9.3262
Cu 1.7712 1.7691 0.0266
Cu 3.4792 1.7159 13.2752
Cu 1.7201 3.4771 13.2752
Zn 0.0000 0.0000 0.0000
Cu 1.7694 3.5263 1.9779
In 1.7316 1.7295 4.1220
Ga 3.4352 3.4311 5.9269
Cu 3.5951 3.5907 8.3717
In 3.5170 3.5127 11.1311
```

- Energy of formation: 0.0602 eV per atom
- ρ: 7.715 g/cm³

***

20.
## ZrInGaCu (GGA-PBE)

Data for a relaxed structure of ZrInGaCu. Values from VASP.

```
&SYSTEM
  ibrav = 0, nat = 4, ntyp = 4
/
ATOMIC_SPECIES
Zr 91.22 Zr.upf
Ga 69.72 Ga.upf
In 114.82 In.upf
Cu 63.55 Cu.upf
CELL_PARAMETERS angstrom
-2.9552 -0.9236 2.5959
2.9695 -0.8818 3.0668
-0.1272 3.9255 1.2519
ATOMIC_POSITIONS angstrom
Zr 0.0072 -0.9027 2.8314
Ga 1.4212 1.5218 2.1593
In -1.5412 1.5009 1.9239
Cu 0.0000 0.0000 0.0000
```

- Energy of formation: -0.3057 eV per atom
- ρ: 7.761 g/cm³

***

21.
## Ga8Cu2Ir (GGA-PBE)

Data for a relaxed structure of Ga8Cu2Ir. Values from VASP.

```
&SYSTEM
  ibrav = 0, nat = 11, ntyp = 3
/
ATOMIC_SPECIES
Ga 69.72 Ga.upf
Cu 63.55 Cu.upf
Ir 192.22 Ir.upf
CELL_PARAMETERS angstrom
4.1912 0.0000 0.0000
0.0000 5.3921 -0.3614
-2.0956 -2.8404 8.3483
ATOMIC_POSITIONS angstrom
Ga 0.0000 -1.8334 5.9565
Ga 2.0956 1.7768 1.7690
Ga 0.0000 0.3728 3.4404
Ga 2.0956 4.3851 2.0304
Ga 2.0956 2.1789 4.5465
Ga 0.0000 0.7748 6.2179
Cu 2.0956 -0.4104 5.0684
Cu 0.0000 2.9620 2.9185
Ga 2.0956 -1.4068 7.9833
Ga 0.0000 3.9584 0.0037
Ir 2.0956 0.0000 0.0000
```

- Energy of formation: -0.1209 eV per atom
- ρ: 7.900 g/cm³

***

22.
## GaCu2Ir2 (GGA-PBE)

Data for a relaxed structure of GaCu2Ir2. Values from VASP.

```
&SYSTEM
  ibrav = 0, nat = 10, ntyp = 3
/
ATOMIC_SPECIES
Cu 63.55 Cu.upf
Ir 192.22 Ir.upf
Ga 69.72 Ga.upf
CELL_PARAMETERS angstrom
-4.7154 -1.6910 -3.9341
2.2081 -5.9741 -0.0787
-2.1310 -0.8260 2.9092
ATOMIC_POSITIONS angstrom
Cu -0.3593 -4.6163 0.7785
Ir 0.1303 -2.3846 -0.5816
Cu -2.3246 -1.9381 0.0994
Ir 0.2030 -5.7415 -1.4814
Ga 0.0000 0.0000 0.0000
Ir -2.6376 -5.2805 -3.4312
Ga -1.2536 -3.8325 -2.0064
Cu -4.2790 -3.8747 -1.8820
Cu -2.3137 -6.5529 -1.2029
Ir -2.7103 -1.9236 -2.5314
```

- Energy of formation: 0.1090 eV per atom
- ρ: 12.861 g/cm³

***

23.
## Ga2CuIr2 (GGA-PBE)

Data for a relaxed structure of Ga2CuIr2. Values from VASP.

```
&SYSTEM
  ibrav = 0, nat = 10, ntyp = 3
/
ATOMIC_SPECIES
Ir 192.22 Ir.upf
Ga 69.72 Ga.upf
Cu 63.55 Cu.upf
CELL_PARAMETERS angstrom
7.0944 0.0000 0.0000
0.0000 7.0944 0.0000
0.0000 0.0000 2.9798
ATOMIC_POSITIONS angstrom
Ir 1.0403 2.5069 0.0000
Ga 6.0074 2.4602 1.4899
Ir 6.0541 4.5875 0.0000
Ga 1.0870 4.6342 1.4899
Ir 4.5875 1.0403 0.0000
Ga 2.4602 1.0870 1.4899
Cu 3.5472 3.5472 0.0000
Cu 0.0000 0.0000 0.0000
Ir 2.5069 6.0541 0.0000
Ga 4.6342 6.0074 1.4899
```

- Energy of formation: -0.2260 eV per atom
- ρ: 13.008 g/cm³